4
Lattice="9.2201 0.0038 0.0022 8.7872 2.7919 0.0022 8.7872 1.3642 2.4359" Properties=species:S:1:pos:R:3 comment="InOs2Ru GGA-PBE optimized geometry" volume_a3_per_cell=62.6 ef_kj_per_mol_atoms=36 dft_energy_ev_per_atom=-8.25 pbc="T T T"
In 20.1226 3.1241 1.8327
Os 26.6486 4.1373 2.4270
Os 6.6935 1.0392 0.6096
Ru 13.5216 2.0993 1.2315

=====

4
Lattice="-2.7699 -0.0937 1.4836 -1.2655 -1.4977 -2.4574 1.5346 -5.4344 2.5218" Properties=species:S:1:pos:R:3 comment="TaRhCl2 GGA-PBE optimized geometry" volume_a3_per_cell=61.1 polymorph_energy_ev_per_atom=1.021 dft_energy_ev_per_atom=-5.36 e_form_raw_mev_per_atom=363 pbc="T T T"
Cl 1.5129 -5.3575 2.4861
Cl 0.7890 -2.7940 1.2965
Rh -1.6340 -2.1543 0.1435
Ta -0.8667 -4.8715 1.4044

=====

12
Lattice="3.9205 0.0000 0.0000 0.0000 8.0672 0.1624 -1.9603 -2.4568 8.3725" Properties=species:S:1:pos:R:3 comment="PrNd2Er3S6 GGA-PBE optimized geometry" volume_a3_per_cell=266.4 dft_energy_ev_per_atom=-6.40 e_form_raw_mev_per_atom=-1999 pbc="T T T"
Pr 1.9603 0.0000 0.0000
Nd 1.9603 3.7414 5.6909
Nd 0.0000 1.8690 2.8439
Er 1.9603 4.0336 0.0812
Er 1.9603 -0.2931 5.6138
Er 0.0000 5.9035 2.9210
S 0.0000 5.8725 5.6455
S 1.9603 4.0002 2.8148
S 1.9603 -0.2621 2.8894
S 1.9603 -0.3103 8.3434
S 0.0000 5.9207 0.1915
S 0.0000 1.6102 5.7200

=====

5
Lattice="-3.0492 2.5022 2.8475 -3.6422 -2.9469 -1.3106 1.0116 -2.8431 3.5815" Properties=species:S:1:pos:R:3 comment="AgPtS2Cl GGA-PBE optimized geometry" volume_a3_per_cell=110.8 polymorph_energy_ev_per_atom=0.744 dft_energy_ev_per_atom=-2.69 e_form_raw_mev_per_atom=1107 pbc="T T T"
S -1.8211 -1.4735 -0.6553
S -1.5246 1.2511 1.4238
Ag 0.0000 0.0000 0.0000
Pt -2.8399 -1.6439 2.5592
Cl 0.5058 -1.4215 1.7908